A:
# CaLa2Sc

An optimized crystal structure of CaLa2Sc (PBE, Alexandria via LeMat-Bulk).

```
CaLa2Sc
1.0
-1.224 3.198 -1.861
-1.069 -3.202 -4.799
-5.587 -1.019 1.925
La Sc Ca
2 1 1
direct
0.500 0.500 0.000 La
0.000 0.000 0.000 La
0.500 0.000 0.500 Sc
0.000 0.500 0.500 Ca
```

Magnetic moment   0.00 μB/f.u.
ρ   4.39 g cm⁻³
Volume   137 Å³/cell

=====

B:
# CaLa2Sc

An optimized crystal structure of CaLa2Sc (PBE, Alexandria via LeMat-Bulk).

```
CaLa2Sc
1.0
3.638 0.000 0.000
1.819 3.151 0.000
1.819 1.050 12.068
Ca La Sc
1 2 1
direct
0.499 0.499 0.502 Ca
0.259 0.259 0.224 La
0.075 0.075 0.774 La
0.667 0.667 0.999 Sc
```

Magnetic moment   0.00 μB/f.u.
ρ   4.36 g cm⁻³
Volume   138 Å³/cell

=====

C:
# CaLa2Sc

An optimized crystal structure of CaLa2Sc (PBE, Alexandria via LeMat-Bulk).

```
CaLa2Sc
1.0
5.171 0.000 0.000
0.000 3.623 0.027
0.000 3.564 7.331
La Sc Ca
2 1 1
direct
0.500 0.247 0.254 La
0.000 0.980 0.021 La
0.000 0.513 0.487 Sc
0.500 0.760 0.739 Ca
```

Magnetic moment   0.00 μB/f.u.
ρ   4.40 g cm⁻³
Volume   137 Å³/cell

=====

D:
# CaLa2Sc

An optimized crystal structure of CaLa2Sc (PBE, Alexandria via LeMat-Bulk).

```
CaLa2Sc
1.0
-1.284 1.869 -5.938
-4.390 2.200 -4.036
0.940 6.201 0.457
Ca La Sc
1 2 1
direct
0.243 0.243 0.263 Ca
0.757 0.757 0.755 La
0.004 0.004 0.975 La
0.497 0.497 0.506 Sc
```

Magnetic moment   0.00 μB/f.u.
ρ   4.39 g cm⁻³
Volume   137 Å³/cell

=====

What should be chosen as the least stable of them? Choose A.

=====

A:
# CaLa2Sc

An optimized crystal structure of CaLa2Sc (PBE, Alexandria via LeMat-Bulk).

```
CaLa2Sc
1.0
-3.135 0.828 1.388
-0.133 -2.072 -2.851
0.556 -9.838 7.124
Ca La Sc
1 2 1
direct
0.500 0.500 0.733 Ca
0.500 0.500 0.269 La
0.000 0.000 0.003 La
0.000 0.000 0.495 Sc
```

Magnetic moment   0.00 μB/f.u.
ρ   4.40 g cm⁻³
Volume   137 Å³/cell

=====

B:
# CaLa2Sc

An optimized crystal structure of CaLa2Sc (PBE, Alexandria via LeMat-Bulk).

```
CaLa2Sc
1.0
12.207 0.009 0.006
11.663 3.606 0.006
11.663 1.766 3.143
La Ca Sc
2 1 1
direct
0.508 0.508 0.508 La
0.992 0.992 0.992 La
0.750 0.750 0.750 Ca
0.250 0.250 0.250 Sc
```

Magnetic moment   0.00 μB/f.u.
ρ   4.37 g cm⁻³
Volume   138 Å³/cell

=====

What should be chosen as the least stable of them? Choose A.

=====

A:
# CaLa2Sc

An optimized crystal structure of CaLa2Sc (PBE, Alexandria via LeMat-Bulk).

```
CaLa2Sc
1.0
6.886 0.010 0.009
3.207 6.094 -0.009
-4.357 -4.192 3.296
La Sc Ca
2 1 1
direct
0.001 0.001 0.000 La
0.732 0.232 0.500 La
0.500 0.500 0.000 Sc
0.268 0.768 0.500 Ca
```

Magnetic moment   0.00 μB/f.u.
ρ   4.36 g cm⁻³
Volume   138 Å³/cell

=====

B:
# CaLa2Sc

An optimized crystal structure of CaLa2Sc (PBE, Alexandria via LeMat-Bulk).

```
CaLa2Sc
1.0
-2.802 4.799 1.698
-3.674 -0.218 4.497
1.403 2.559 5.025
La Ca Sc
2 1 1
direct
0.000 0.000 0.000 La
0.250 0.250 0.250 La
0.500 0.500 0.500 Ca
0.750 0.750 0.750 Sc
```

Magnetic moment   0.81 μB/f.u.
ρ   4.34 g cm⁻³
Volume   139 Å³/cell

=====

What should be chosen as the least stable of them? Choose B.

=====

A:
# CaLa2Sc

An optimized crystal structure of CaLa2Sc (PBE, Alexandria via LeMat-Bulk).

```
CaLa2Sc
1.0
-2.406 1.425 2.149
-0.611 -3.419 -0.614
6.793 -2.927 9.544
La Ca Sc
2 1 1
direct
0.000 0.000 0.026 La
0.000 0.000 0.474 La
0.500 0.500 0.750 Ca
0.500 0.500 0.250 Sc
```

Magnetic moment   0.00 μB/f.u.
ρ   4.34 g cm⁻³
Volume   139 Å³/cell

=====

B:
# CaLa2Sc

An optimized crystal structure of CaLa2Sc (PBE, Alexandria via LeMat-Bulk).

```
CaLa2Sc
1.0
4.056 0.000 0.000
0.000 5.839 0.000
0.000 0.000 5.839
Ca Sc La
1 1 2
direct
0.500 0.000 0.500 Ca
0.500 0.500 0.000 Sc
0.000 0.500 0.500 La
0.000 0.000 0.000 La
```

Magnetic moment   0.01 μB/f.u.
ρ   4.36 g cm⁻³
Volume   138 Å³/cell

=====

C:
# CaLa2Sc

An optimized crystal structure of CaLa2Sc (PBE, Alexandria via LeMat-Bulk).

```
CaLa2Sc
1.0
-2.905 5.480 -1.116
-5.206 -1.066 -3.387
2.133 -2.599 5.330
La Ca Sc
2 1 1
direct
0.000 0.000 0.000 La
0.250 0.750 0.500 La
0.750 0.250 0.500 Ca
0.500 0.500 0.000 Sc
```

Magnetic moment   0.00 μB/f.u.
ρ   4.40 g cm⁻³
Volume   137 Å³/cell

=====

D:
# CaLa2Sc

An optimized crystal structure of CaLa2Sc (PBE, Alexandria via LeMat-Bulk).

```
CaLa2Sc
1.0
-7.900 8.548 -3.420
-9.868 5.601 -4.293
-9.940 6.899 -0.883
Ca La Sc
1 2 1
direct
0.756 0.756 0.756 Ca
0.245 0.245 0.245 La
0.995 0.995 0.995 La
0.503 0.503 0.503 Sc
```

Magnetic moment   0.34 μB/f.u.
ρ   4.37 g cm⁻³
Volume   138 Å³/cell

=====

What should be chosen as the least stable of them? Choose C.

=====

A:
# CaLa2Sc

An optimized crystal structure of CaLa2Sc (PBE, Alexandria via LeMat-Bulk).

```
CaLa2Sc
1.0
-5.375 -1.627 -1.452
-4.382 3.779 0.404
-2.468 2.104 -4.809
La Ca Sc
2 1 1
direct
0.250 0.250 0.250 La
0.750 0.750 0.750 La
0.000 0.000 0.000 Ca
0.500 0.500 0.500 Sc
```

Magnetic moment   0.00 μB/f.u.
ρ   4.37 g cm⁻³
Volume   138 Å³/cell

=====

B:
# CaLa2Sc

An optimized crystal structure of CaLa2Sc (PBE, Alexandria via LeMat-Bulk).

```
CaLa2Sc
1.0
3.698 0.000 0.000
0.000 3.698 0.000
0.000 0.000 10.103
Sc La Ca
1 2 1
direct
0.000 0.000 0.486 Sc
0.500 0.500 0.269 La
0.000 0.000 0.018 La
0.500 0.500 0.727 Ca
```

Magnetic moment   0.00 μB/f.u.
ρ   4.36 g cm⁻³
Volume   138 Å³/cell

=====

What should be chosen as the least stable of them? Choose A.

=====

A:
# CaLa2Sc

An optimized crystal structure of CaLa2Sc (PBE, Alexandria via LeMat-Bulk).

```
CaLa2Sc
1.0
7.032 0.007 0.012
3.476 6.113 -0.012
-4.530 -4.302 3.227
Sc La Ca
1 2 1
direct
0.750 0.250 0.500 Sc
0.529 0.529 0.000 La
0.971 0.971 0.000 La
0.250 0.750 0.500 Ca
```

Magnetic moment   0.00 μB/f.u.
ρ   4.35 g cm⁻³
Volume   138 Å³/cell

=====

B:
# CaLa2Sc

An optimized crystal structure of CaLa2Sc (PBE, Alexandria via LeMat-Bulk).

```
CaLa2Sc
1.0
-0.554 3.788 0.248
-2.103 -0.098 -3.208
-7.914 -1.499 5.233
Ca La Sc
1 2 1
direct
0.500 0.500 0.750 Ca
0.000 0.000 0.033 La
0.000 0.000 0.467 La
0.500 0.500 0.250 Sc
```

Magnetic moment   0.00 μB/f.u.
ρ   4.26 g cm⁻³
Volume   141 Å³/cell

=====

What should be chosen as the least stable of them? Choose A.

=====

A:
# CaLa3Sc

An optimized crystal structure of CaLa3Sc (PBE, Alexandria via LeMat-Bulk).

```
CaLa3Sc
1.0
5.820 0.000 0.000
0.000 5.820 0.000
0.000 0.000 5.820
La Ca Sc
3 1 1
direct
0.000 0.000 0.500 La
0.500 0.000 0.000 La
0.000 0.500 0.000 La
0.000 0.000 0.000 Ca
0.500 0.500 0.500 Sc
```

Magnetic moment   0.81 μB/f.u.
ρ   4.23 g cm⁻³
Volume   197 Å³/cell

=====

B:
# CaLa3Sc

An optimized crystal structure of CaLa3Sc (PBE, Alexandria via LeMat-Bulk).

```
CaLa3Sc
1.0
5.885 0.000 0.000
0.000 5.885 0.000
0.000 0.000 5.885
La Ca Sc
3 1 1
direct
0.500 0.000 0.000 La
0.000 0.500 0.000 La
0.000 0.000 0.500 La
0.500 0.500 0.500 Ca
0.000 0.000 0.000 Sc
```

Magnetic moment   0.20 μB/f.u.
ρ   4.09 g cm⁻³
Volume   204 Å³/cell

=====

What should be chosen as the least stable of them? Choose A.

=====

A:
# CaLaSe2

An optimized crystal structure of CaLaSe2 (PBE, Alexandria via LeMat-Bulk).

```
CaLaSe2
1.0
-1.543 1.224 -5.727
3.524 -1.977 -1.372
-2.147 -3.682 -0.208
La Se Ca
1 2 1
direct
0.500 0.875 0.875 La
0.500 0.375 0.375 Se
0.000 0.875 0.875 Se
0.000 0.375 0.375 Ca
```

Magnetic moment   0.00 μB/f.u.
ρ   5.07 g cm⁻³
Volume   110 Å³/cell

=====

B:
# CaLaSe2

An optimized crystal structure of CaLaSe2 (PBE, Alexandria via LeMat-Bulk).

```
CaLaSe2
1.0
6.042 0.000 0.000
0.000 6.042 0.000
-3.021 -3.021 6.026
Ca Se La
2 4 2
direct
0.250 0.750 0.500 Ca
0.500 0.500 0.000 Ca
0.005 0.505 0.010 Se
0.745 0.745 0.490 Se
0.495 0.995 0.990 Se
0.255 0.255 0.510 Se
0.750 0.250 0.500 La
0.000 0.000 0.000 La
```

Magnetic moment   0.00 μB/f.u.
ρ   5.09 g cm⁻³
Volume   220 Å³/cell

=====

What should be chosen as the least stable of them? Choose B.